DFT (GGA-PBE) results for a relaxed YTaBeNb2 crystal.

extended XYZ file:
```
5
Lattice="-1.478 -3.605 2.908 3.036 -3.116 -2.320 3.534 1.095 3.154" Properties=species:S:1:pos:R:3 pbc="T T T"
Nb -0.739 -1.802 1.454
Nb 1.767 0.548 1.577
Be 2.546 -2.813 1.871
Y 0.000 0.000 0.000
Ta 1.518 -1.558 -1.160
```

Properties
- Formation enthalpy at 0 K: 1193 kJ/mol of formula units
- V: 23.3 Å³ per atom

DFT (GGA-PBE) results for a relaxed TbBe17Nb crystal.

extended XYZ file:
```
19
Lattice="-5.566 -0.657 -1.011 0.103 -5.623 -0.899 -1.493 -1.585 5.262" Properties=species:S:1:pos:R:3 pbc="T T T"
Be -2.777 -0.357 -0.486
Be -0.689 -0.779 0.332
Be -0.366 -4.457 0.850
Be -3.940 -2.068 -0.960
Be -1.050 -2.726 3.491
Be -3.815 -4.365 -0.398
Be -1.510 -4.196 -0.912
Be 0.023 -2.809 -0.430
Be -2.306 -5.506 0.683
Be -1.809 -4.822 2.691
Be -5.169 -2.999 0.626
Be -4.388 -0.934 0.770
Be -2.642 -1.332 3.459
Be -0.766 -0.815 2.613
Be -3.112 -3.467 3.794
Be -4.601 -2.376 2.636
Be -6.315 -7.140 3.044
Tb -4.602 -5.203 2.218
Nb -2.328 -2.633 1.122
```

Properties
- Formation enthalpy at 0 K: -298 kJ/mol of formula units
- V: 9.5 Å³ per atom

DFT (GGA-PBE) results for a relaxed Be9Nb2Tc crystal.

extended XYZ file:
```
24
Lattice="4.488 0.000 0.000 -2.244 3.887 0.000 0.000 0.000 13.969" Properties=species:S:1:pos:R:3 pbc="T T T"
Be 1.127 0.651 8.800
Be -1.117 3.236 5.169
Be 2.244 1.296 10.477
Be -1.117 3.236 1.816
Be 0.000 2.591 3.492
Be 0.000 0.000 10.477
Be 0.000 0.000 6.985
Be 2.244 2.585 12.154
Be 0.000 1.302 1.816
Be 1.117 3.236 1.816
Be 0.000 0.000 0.000
Be 2.244 2.585 8.800
Be 3.361 0.651 8.800
Be 1.117 3.236 5.169
Be 3.361 0.651 12.154
Be 0.000 1.302 5.169
Be 0.000 0.000 3.492
Be 1.127 0.651 12.154
Nb 2.244 1.296 6.450
Nb 0.000 2.591 7.519
Nb 2.244 1.296 0.534
Nb 0.000 2.591 13.435
Tc 2.244 1.296 3.492
Tc 0.000 2.591 10.477
```

Properties
- Offset from the most stable computed form: 5.1 meV/atom
- Formation enthalpy at 0 K: -252 kJ/mol of formula units
- V: 10.2 Å³ per atom

DFT (GGA-PBE) results for a relaxed Be5NbTc crystal.

extended XYZ file:
```
28
Lattice="4.375 0.000 0.000 0.000 7.239 0.000 0.000 0.000 9.089" Properties=species:S:1:pos:R:3 pbc="T T T"
Be 3.281 4.022 5.656
Be 3.281 0.403 7.977
Be 3.281 3.004 8.923
Be 2.155 4.159 7.437
Be 0.033 4.159 7.437
Be 1.094 4.235 0.165
Be 1.094 1.331 2.252
Be 2.155 0.540 6.196
Be 1.094 6.836 1.111
Be 2.220 6.699 2.892
Be 4.342 6.699 2.892
Be 1.094 3.216 3.433
Be 0.033 0.540 6.196
Be 1.094 4.951 2.293
Be 2.220 3.080 1.652
Be 1.094 0.616 4.379
Be 3.281 2.288 6.796
Be 3.281 6.623 4.709
Be 3.281 5.908 6.837
Be 4.342 3.080 1.652
Tc 3.281 0.850 1.089
Tc 1.094 6.389 7.999
Tc 3.281 4.469 3.455
Tc 1.094 2.770 5.634
Nb 1.094 5.410 5.216
Nb 3.281 5.448 0.672
Nb 3.281 1.829 3.872
Nb 1.094 1.791 8.417
```

Properties
- Formation enthalpy at 0 K: -156 kJ/mol of formula units
- V: 10.3 Å³ per atom

DFT (GGA-PBE) results for a relaxed Be3Nb2Tc crystal.

extended XYZ file:
```
6
Lattice="-1.075 -4.234 -1.863 0.494 0.473 4.699 -3.302 3.504 -0.001" Properties=species:S:1:pos:R:3 pbc="T T T"
Be -1.942 -0.128 1.418
Be -2.189 -0.365 -0.932
Be -1.651 1.752 0.000
Nb -1.043 -2.558 0.365
Nb -2.841 2.301 2.470
Tc 0.000 0.000 0.000
```

Properties
- Formation enthalpy at 0 K: -115 kJ/mol of formula units
- V: 12.9 Å³ per atom

DFT (GGA-PBE) results for a relaxed BeNbTc2 crystal.

extended XYZ file:
```
8
Lattice="-2.004 -6.241 2.539 5.030 0.376 4.896 -0.003 -1.846 5.192" Properties=species:S:1:pos:R:3 pbc="T T T"
Tc -0.463 -3.813 3.292
Tc 1.537 -3.554 7.076
Tc 2.731 -1.509 4.879
Tc 2.241 -6.547 10.005
Be 3.270 -2.201 6.902
Be 1.513 -2.933 3.717
Nb 0.000 0.000 0.000
Nb -0.247 -5.510 5.724
```

Properties
- Formation enthalpy at 0 K: 136 kJ/mol of formula units
- V: 14.7 Å³ per atom

DFT (GGA-PBE) results for a relaxed Be9NbTc2 crystal.

extended XYZ file:
```
12
Lattice="4.388 0.000 0.000 2.194 3.800 0.000 2.194 1.267 6.938" Properties=species:S:1:pos:R:3 pbc="T T T"
Be 4.388 2.534 0.004
Be 4.388 2.534 6.934
Be 4.388 2.534 3.469
Be 4.388 3.814 1.733
Be 3.280 1.894 1.733
Be 3.280 3.174 5.205
Be 4.388 1.253 5.205
Be 5.497 1.894 1.733
Be 5.497 3.174 5.205
Nb 0.000 0.000 0.000
Tc 6.583 3.800 3.012
Tc 2.194 1.267 3.926
```

Properties
- Formation enthalpy at 0 K: -339 kJ/mol of formula units
- V: 9.6 Å³ per atom

DFT (GGA-PBE) results for a relaxed Be9Nb2Tc crystal.

extended XYZ file:
```
12
Lattice="4.487 0.000 0.000 2.244 3.886 0.000 2.244 1.295 6.982" Properties=species:S:1:pos:R:3 pbc="T T T"
Tc 0.000 0.000 0.000
Be 4.487 2.591 3.491
Be 4.487 2.591 0.022
Be 4.487 1.284 5.305
Be 3.356 1.937 1.677
Be 5.619 3.244 5.305
Be 4.487 3.897 1.677
Be 5.619 1.937 1.677
Be 3.356 3.244 5.305
Be 4.487 2.591 6.961
Nb 2.244 1.295 4.023
Nb 6.731 3.886 2.959
```

Properties
- Offset from the most stable computed form: 0.0 meV/atom
- Formation enthalpy at 0 K: -258 kJ/mol of formula units
- V: 10.1 Å³ per atom

DFT (GGA-PBE) results for a relaxed Be8Nb3Tc crystal.

extended XYZ file:
```
12
Lattice="-1.460 -2.478 -3.529 -2.078 -0.341 4.036 -4.652 5.491 -1.931" Properties=species:S:1:pos:R:3 pbc="T T T"
Be -5.954 1.462 -2.943
Be -3.158 0.704 2.317
Be -5.237 2.679 -1.209
Be -2.092 0.879 0.248
Be -4.203 1.697 0.547
Be -3.907 -0.566 0.508
Be -1.877 -1.048 1.512
Be -4.216 2.847 -3.192
Nb -4.319 5.098 -1.793
Nb -3.717 0.655 -1.859
Nb -1.977 -1.399 -1.136
Tc -2.622 3.094 -1.088
```

Properties
- Formation enthalpy at 0 K: -351 kJ/mol of formula units
- V: 11.1 Å³ per atom

DFT (GGA-PBE) results for a relaxed Be2Nb2Tc crystal.

extended XYZ file:
```
5
Lattice="3.635 0.000 0.000 0.000 3.635 0.000 1.818 1.818 5.362" Properties=species:S:1:pos:R:3 pbc="T T T"
Be 3.635 3.635 4.420
Be 1.818 1.818 0.942
Nb 3.635 1.818 2.681
Nb 1.818 3.635 2.681
Tc 0.000 0.000 0.000
```

Properties
- Offset from the most stable computed form: 604.9 meV/atom
- Formation enthalpy at 0 K: 137 kJ/mol of formula units
- V: 14.2 Å³ per atom

DFT (GGA-PBE) results for a relaxed Be2Nb2Tc crystal.

extended XYZ file:
```
10
Lattice="6.353 0.000 0.000 0.000 6.353 0.000 0.000 0.000 3.310" Properties=species:S:1:pos:R:3 pbc="T T T"
Nb 4.309 5.220 1.655
Nb 1.133 4.309 1.655
Nb 5.220 2.043 1.655
Nb 2.043 1.133 1.655
Be 2.425 5.602 0.000
Be 3.927 0.751 0.000
Be 0.751 2.425 0.000
Be 5.602 3.927 0.000
Tc 0.000 0.000 0.000
Tc 3.176 3.176 0.000
```

Properties
- Offset from the most stable computed form: 0.0 meV/atom
- Formation enthalpy at 0 K: -155 kJ/mol of formula units
- V: 13.4 Å³ per atom

DFT (GGA-PBE) results for a relaxed BeNb2VTc crystal.

extended XYZ file:
```
5
Lattice="-4.047 -1.918 0.459 0.829 -0.851 3.752 -1.729 3.955 1.279" Properties=species:S:1:pos:R:3 pbc="T T T"
V -2.474 0.593 2.745
Be 0.000 0.000 0.000
Nb -2.024 -0.959 0.230
Nb -0.864 1.978 0.639
Tc 0.414 -0.425 1.876
```

Properties
- Offset from the most stable computed form: 0.0 meV/atom
- Formation enthalpy at 0 K: 287 kJ/mol of formula units
- V: 16.0 Å³ per atom

DFT (GGA-PBE) results for a relaxed BeNb2VTc crystal.

extended XYZ file:
```
5
Lattice="-2.263 -2.398 3.073 0.800 -3.226 -1.928 3.783 -0.495 2.399" Properties=species:S:1:pos:R:3 pbc="T T T"
V 0.400 -1.613 -0.964
Nb -1.131 -1.199 1.537
Nb 1.892 -0.248 1.200
Be 0.000 0.000 0.000
Tc 1.160 -3.059 1.773
```

Properties
- Offset from the most stable computed form: 17.5 meV/atom
- Formation enthalpy at 0 K: 295 kJ/mol of formula units
- V: 15.6 Å³ per atom

DFT (GGA-PBE) results for a relaxed BeNbZn2Tc crystal.

extended XYZ file:
```
5
Lattice="4.983 0.000 0.000 0.000 4.633 0.000 0.000 0.000 4.983" Properties=species:S:1:pos:R:3 pbc="T T T"
Nb 0.000 0.000 0.000
Be 2.491 2.317 2.491
Zn 2.491 0.000 0.000
Zn 0.000 0.000 2.491
Tc 0.000 2.317 0.000
```

Properties
- Formation enthalpy at 0 K: 802 kJ/mol of formula units
- V: 23.0 Å³ per atom

DFT (GGA-PBE) results for a relaxed BeNbTe2 crystal.

extended XYZ file:
```
4
Lattice="-8.592 1.175 -0.082 -7.993 0.235 3.358 -7.514 3.664 2.311" Properties=species:S:1:pos:R:3 pbc="T T T"
Be 0.000 0.000 0.000
Te -21.870 4.605 5.070
Te -2.228 0.469 0.517
Nb -12.049 2.537 2.794
```

Properties
- V: 23.8 Å³ per atom
- Raw formation energy: 173 meV/atom

DFT (GGA-PBE) results for a relaxed BeNb3Te crystal.

extended XYZ file:
```
5
Lattice="5.005 0.000 0.000 0.000 5.005 0.000 0.000 0.000 5.005" Properties=species:S:1:pos:R:3 pbc="T T T"
Nb 0.000 2.502 0.000
Nb 0.000 0.000 2.502
Nb 2.502 0.000 0.000
Te 0.000 0.000 0.000
Be 2.502 2.502 2.502
```

Properties
- Offset from the most stable computed form: 1289.2 meV/atom
- V: 25.1 Å³ per atom
- Raw formation energy: 1756 meV/atom

DFT (GGA-PBE) results for a relaxed Be3NbTe crystal.

extended XYZ file:
```
5
Lattice="4.527 0.000 0.000 0.000 4.527 0.000 0.000 0.000 4.527" Properties=species:S:1:pos:R:3 pbc="T T T"
Be 0.000 2.264 0.000
Be 2.264 0.000 0.000
Be 0.000 0.000 2.264
Nb 0.000 0.000 0.000
Te 2.264 2.264 2.264
```

Properties
- Offset from the most stable computed form: 0.0 meV/atom
- V: 18.6 Å³ per atom
- Raw formation energy: 1394 meV/atom

DFT (GGA-PBE) results for a relaxed BeNb3Te crystal.

extended XYZ file:
```
5
Lattice="4.483 0.000 0.000 0.000 4.483 0.000 0.000 0.000 4.483" Properties=species:S:1:pos:R:3 pbc="T T T"
Nb 2.241 0.000 0.000
Nb 0.000 0.000 2.241
Nb 0.000 2.241 0.000
Be 0.000 0.000 0.000
Te 2.241 2.241 2.241
```

Properties
- Offset from the most stable computed form: 0.0 meV/atom
- V: 18.0 Å³ per atom
- Raw formation energy: 467 meV/atom

DFT (GGA-PBE) results for a relaxed BeNbTe2 crystal.

extended XYZ file:
```
4
Lattice="-0.003 6.469 6.122 3.365 5.948 5.711 1.669 7.999 3.544" Properties=species:S:1:pos:R:3 pbc="T T T"
Nb 0.000 0.000 0.000
Be 2.516 10.208 7.688
Te 4.499 18.256 13.750
Te 0.532 2.160 1.627
```

Properties
- V: 22.2 Å³ per atom
- Raw formation energy: 512 meV/atom

DFT (GGA-PBE) results for a relaxed Be2Nb5Te2 crystal.

extended XYZ file:
```
18
Lattice="-2.108 6.078 1.642 -5.790 -2.573 2.092 1.683 2.215 7.383" Properties=species:S:1:pos:R:3 pbc="T T T"
Te -2.796 1.406 4.631
Te -0.955 5.731 4.406
Te 0.530 2.562 4.620
Te -3.419 4.315 6.487
Be -5.944 0.054 2.486
Be -2.483 -0.291 0.999
Be -1.955 3.451 1.249
Be -5.416 3.796 2.736
Nb -1.095 1.360 2.366
Nb -3.197 1.707 7.616
Nb -0.631 3.942 6.827
Nb -3.661 -0.875 3.156
Nb -3.018 4.013 3.502
Nb -2.554 6.595 7.962
Nb 0.000 0.000 0.000
Nb -5.584 1.778 4.292
Nb -5.120 4.360 8.752
Nb -3.949 1.752 1.867
```

Properties
- V: 17.6 Å³ per atom
- Raw formation energy: -245 meV/atom

DFT (GGA-PBE) results for a relaxed Be3NbTe crystal.

extended XYZ file:
```
5
Lattice="-0.683 4.426 -0.345 -4.439 -0.683 0.030 -0.023 0.345 4.478" Properties=species:S:1:pos:R:3 pbc="T T T"
Be -0.012 0.173 2.239
Be -2.220 -0.341 0.015
Be -0.341 2.213 -0.172
Te 0.000 0.000 0.000
Nb -2.573 2.044 2.082
```

Properties
- Offset from the most stable computed form: 233.9 meV/atom
- V: 18.1 Å³ per atom
- Raw formation energy: 1628 meV/atom

DFT (GGA-PBE) results for a relaxed BeNbTe2 crystal.

extended XYZ file:
```
8
Lattice="-5.770 -2.248 -1.029 2.465 -5.431 -1.958 -1.820 -5.789 3.702" Properties=species:S:1:pos:R:3 pbc="T T T"
Be -0.504 -7.530 0.125
Be -1.653 -3.840 -1.494
Te -2.484 -7.486 1.560
Te 0.083 -5.232 -0.477
Te -3.472 -3.421 0.087
Te -4.377 -10.796 0.258
Nb -4.622 -5.938 0.589
Nb 0.000 0.000 0.000
```

Properties
- V: 27.3 Å³ per atom
- Raw formation energy: 156 meV/atom

DFT (GGA-PBE) results for a relaxed BeNbVTe2 crystal.

extended XYZ file:
```
5
Lattice="-0.427 4.637 1.390 -1.303 0.989 -3.701 -4.581 -0.838 1.389" Properties=species:S:1:pos:R:3 pbc="T T T"
V -0.652 0.495 -1.851
Be 0.000 0.000 0.000
Te -0.213 2.319 0.695
Te -2.291 -0.419 0.695
Nb -3.156 2.394 -0.461
```

Properties
- V: 19.1 Å³ per atom
- Raw formation energy: 726 meV/atom

no.,DOS at the Fermi energy (states/eV/cell),total moment (μB/cell)
1,5.28,0.00
2,4.80,0.00
3,9.26,0.00
4,7.44,0.00
5,3.53,0.00
6,8.00,0.00
7,6.94,0.00
8,4.79,0.00
9,7.07,0.00
10,3.09,0.00
11,4.12,0.00
12,4.78,0.00
13,4.80,0.00
14,3.88,1.08
15,4.55,0.00
16,8.05,0.00
17,3.18,0.00
18,5.80,0.00
19,3.79,0.00
20,9.01,0.00
21,4.78,0.00
22,2.01,6.00
23,5.09,1.02